Computed, not measured: a geometry-optimized NaReO3 structure at the GGA-PBE level of DFT.

**Total magnetization**: 0.00 μB per cell
**Raw formation energy**: -1662 meV/atom
**Final energy**: -36.9 eV/f.u.

Cell lengths 3.8836, 5.4871, 5.4871 Å; angles 90.00, 90.00, 90.00 degrees
Closest atoms and distances in Å follow each position.
Atoms (fractional coordinates):
Na 0.0000 0.0000 0.5000  12 O 2.62-2.87
Re 0.5000 0.0000 0.0000  6 O 1.94-1.95
Na 0.0000 0.5000 0.0000  12 O 2.62-2.87
Re 0.5000 0.5000 0.5000  6 O 1.94-1.95
O 0.5000 0.7725 0.2725  2 Re 1.95
O 0.0000 0.5000 0.5000  2 Re 1.94
O 0.5000 0.7275 0.7725  2 Re 1.95
O 0.0000 0.0000 0.0000  2 Re 1.94
O 0.5000 0.2275 0.7275  2 Re 1.95
O 0.5000 0.2725 0.2275  2 Re 1.95

---

Computed, not measured: a geometry-optimized Na3ReRh3O8 structure at the GGA-PBE level of DFT.

**Total magnetization**: 3.01 μB per cell
**Raw formation energy**: -1093 meV/atom
**Final energy**: -94.5 eV/f.u.

Cell lengths 6.2733, 6.2737, 6.4902 Å; angles 118.91, 90.00, 120.00 degrees
Closest atoms and distances in Å follow each position.
Atoms (fractional coordinates):
Rh 0.5000 0.0000 0.5000  6 O 2.10-2.11
Rh 0.0000 0.5000 0.5000  6 O 2.10-2.11
O 0.2274 0.4548 0.6931  1 Re 2.05, 2 Rh 2.11
Rh 0.5000 0.5000 0.5000  6 O 2.10-2.11
O 0.2678 0.5356 0.3034  3 Rh 2.10
O 0.2616 0.0342 0.3069  1 Re 2.05, 2 Rh 2.11
O 0.7726 0.0342 0.3069  1 Re 2.05, 2 Rh 2.11
Re 0.0000 0.0000 0.5000  6 O 2.05
Na 0.0000 0.5000 0.0000  6 O 2.44
Na 0.5000 0.5000 0.0000  6 O 2.44
O 0.2274 0.9658 0.6931  1 Re 2.05, 2 Rh 2.11
O 0.7726 0.5452 0.3069  1 Re 2.05, 2 Rh 2.11
O 0.7322 0.4644 0.6966  3 Rh 2.10
Na 0.0000 0.0000 0.0000  6 O 2.44
O 0.7384 0.9658 0.6931  1 Re 2.05, 2 Rh 2.11

---

Computed, not measured: a geometry-optimized Na2ReRuO6 structure at the GGA-PBE level of DFT.

**Total magnetization**: 0.63 μB per cell
**Raw formation energy**: -1450 meV/atom
**Final energy**: -68.6 eV/f.u.

Cell lengths 3.8810, 5.4977, 5.4977 Å; angles 90.00, 90.00, 90.00 degrees
Closest atoms and distances in Å follow each position.
Atoms (fractional coordinates):
O 0.1446 0.5000 0.5000  2 Ru 1.94
O 0.1447 0.0000 0.0000  2 Re 1.94
Na 0.1449 0.0000 0.5000  12 O 2.75
O 0.6446 0.7568 0.2432  1 Re 1.89, 1 Ru 2.00
O 0.6446 0.2432 0.2432  1 Re 1.89, 1 Ru 2.00
Re 0.6447 0.0000 0.0000  6 O 1.89-1.94
O 0.6446 0.7568 0.7568  1 Re 1.89, 1 Ru 2.00
O 0.6446 0.2432 0.7568  1 Re 1.89, 1 Ru 2.00
Na 0.1449 0.5000 0.0000  12 O 2.75
Ru 0.6446 0.5000 0.5000  6 O 1.94-2.00

---

Computed, not measured: a geometry-optimized NaReSb2O8 structure at the GGA-PBE level of DFT.

**Total magnetization**: 0.00 μB per cell
**Raw formation energy**: -1401 meV/atom
**Final energy**: -78.5 eV/f.u.

Cell lengths 4.8571, 4.8124, 6.4726 Å; angles 90.00, 90.00, 88.30 degrees
Closest atoms and distances in Å follow each position.
Atoms (fractional coordinates):
Sb 0.5000 0.5000 0.2565  6 O 2.02-2.23
Re 0.0000 0.0000 0.0000  6 O 1.92-1.99
Na 0.0000 0.0000 0.5000  6 O 2.21-2.29
O 0.8102 0.2056 0.2129  1 Re 1.92, 1 Sb 2.06
O 0.1898 0.7944 0.2129  1 Re 1.92, 1 Sb 2.06
O 0.7068 0.7212 0.0000  1 Re 1.99
O 0.6747 0.6889 0.5000  2 Sb 2.02, 1 Na 2.21
O 0.1898 0.7944 0.7871  1 Re 1.92, 1 Sb 2.06
O 0.2932 0.2788 0.0000  1 Re 1.99
O 0.3253 0.3111 0.5000  2 Sb 2.02, 1 Na 2.21
O 0.8102 0.2056 0.7871  1 Re 1.92, 1 Sb 2.06
Sb 0.5000 0.5000 0.7435  6 O 2.02-2.23

---

Computed, not measured: a geometry-optimized Na2ReSbO structure at the GGA-PBE level of DFT.

**Total magnetization**: 2.41 μB per cell
**Raw formation energy**: 223 meV/atom
**Final energy**: -23.0 eV/f.u.

Cell lengths 4.2345, 5.0266, 4.2345 Å; angles 90.00, 90.00, 90.00 degrees
Closest atoms and distances in Å follow each position.
Atoms (fractional coordinates):
Re 0.5000 0.5000 0.5000  4 Sb 2.99, 8 Na 3.29
O 0.0000 0.0000 0.0000  4 Na 2.12
Na 0.0000 0.0000 0.5000  2 O 2.12
Sb 0.0000 0.5000 0.0000  2 O 2.51
Na 0.5000 0.0000 0.0000  2 O 2.12

---

Computed, not measured: a geometry-optimized NaSc2ReO8 structure at the GGA-PBE level of DFT.

**Total magnetization**: 0.00 μB per cell
**Raw formation energy**: -2174 meV/atom
**Final energy**: -92.2 eV/f.u.

Cell lengths 4.7909, 4.7728, 6.9953 Å; angles 90.00, 90.00, 90.52 degrees
Closest atoms and distances in Å follow each position.
Atoms (fractional coordinates):
O 0.7081 0.7111 0.0000  1 Re 1.95, 2 Sc 2.08
O 0.1889 0.8076 0.1934  1 Re 1.87
Sc 0.5000 0.5000 0.7820  6 O 2.08-2.11
O 0.2919 0.2889 0.0000  1 Re 1.95, 2 Sc 2.08
O 0.3911 0.3833 0.5000  1 O 1.52
O 0.8111 0.1924 0.1934  1 Re 1.87
Re 0.0000 0.0000 0.0000  6 O 1.87-1.95
Sc 0.5000 0.5000 0.2180  6 O 2.08-2.11
Na 0.0000 0.0000 0.5000  6 O 2.51-2.61
O 0.1889 0.8076 0.8066  1 Re 1.87
O 0.6089 0.6167 0.5000  1 O 1.52
O 0.8111 0.1924 0.8066  1 Re 1.87

---

Computed, not measured: a geometry-optimized NaScRe2O8 structure at the GGA-PBE level of DFT.

**Total magnetization**: 1.56 μB per cell
**Raw formation energy**: -1930 meV/atom
**Final energy**: -95.4 eV/f.u.

Cell lengths 5.8493, 5.8493, 6.6478 Å; angles 90.00, 90.00, 120.00 degrees
Closest atoms and distances in Å follow each position.
Atoms (fractional coordinates):
O 0.8350 0.1646 0.3069  1 Re 1.81
O 0.3333 0.6667 0.0465  1 Re 1.76
Re 0.6667 0.3333 0.2182  4 O 1.76-1.81
O 0.3296 0.1650 0.3069  1 Re 1.81
O 0.1650 0.8354 0.6931  1 Re 1.81
Sc 0.0000 0.0000 0.5000  6 O 2.11
O 0.6667 0.3333 0.9535  1 Re 1.76
Na 0.0000 0.0000 0.0000  6 O 2.64
Re 0.3333 0.6667 0.7818  4 O 1.76-1.81
O 0.1646 0.3296 0.6931  1 Re 1.81
O 0.8354 0.6704 0.3069  1 Re 1.81
O 0.6704 0.8350 0.6931  1 Re 1.81

---

Computed, not measured: a geometry-optimized Na2SmReO6 structure at the GGA-PBE level of DFT.

**Total magnetization**: 0.00 μB per cell
**Raw formation energy**: -2138 meV/atom
**Final energy**: -70.9 eV/f.u.

Cell lengths 5.6711, 5.8394, 8.1363 Å; angles 90.00, 90.29, 90.00 degrees
Closest atoms and distances in Å follow each position.
Atoms (fractional coordinates):
Na 0.5099 0.5400 0.7528  4 O 2.40-2.57
O 0.8271 0.7697 0.9450  1 Re 1.91
O 0.7719 0.8208 0.5450  1 Re 1.90
Re 0.5000 0.0000 0.5000  6 O 1.90-1.91
O 0.1729 0.2303 0.0550  1 Re 1.91
Na 0.9901 0.0400 0.7472  4 O 2.40-2.57
Na 0.4901 0.4600 0.2472  4 O 2.40-2.57
O 0.2281 0.1792 0.4550  1 Re 1.90
O 0.3271 0.7303 0.4450  1 Re 1.91
O 0.7281 0.3208 0.9550  1 Re 1.90
Sm 0.5000 0.0000 0.0000  6 O 2.31-2.34
Na 0.0099 0.9600 0.2528  4 O 2.40-2.57
O 0.2719 0.6792 0.0450  1 Re 1.90
Re 0.0000 0.5000 0.0000  6 O 1.90-1.91
Sm 0.0000 0.5000 0.5000  6 O 2.31-2.34
O 0.4053 0.9665 0.7230  1 Re 1.90
O 0.0947 0.4665 0.7770  1 Re 1.90
O 0.9053 0.5335 0.2230  1 Re 1.90
O 0.6729 0.2697 0.5550  1 Re 1.91
O 0.5947 0.0335 0.2770  1 Re 1.90

---

> What is the final energy in the seventh record?

-95.4 eV/f.u.

---

Copy entry 7 word for word.
Computed, not measured: a geometry-optimized NaScRe2O8 structure at the GGA-PBE level of DFT.

**Total magnetization**: 1.56 μB per cell
**Raw formation energy**: -1930 meV/atom
**Final energy**: -95.4 eV/f.u.

Cell lengths 5.8493, 5.8493, 6.6478 Å; angles 90.00, 90.00, 120.00 degrees
Closest atoms and distances in Å follow each position.
Atoms (fractional coordinates):
O 0.8350 0.1646 0.3069  1 Re 1.81
O 0.3333 0.6667 0.0465  1 Re 1.76
Re 0.6667 0.3333 0.2182  4 O 1.76-1.81
O 0.3296 0.1650 0.3069  1 Re 1.81
O 0.1650 0.8354 0.6931  1 Re 1.81
Sc 0.0000 0.0000 0.5000  6 O 2.11
O 0.6667 0.3333 0.9535  1 Re 1.76
Na 0.0000 0.0000 0.0000  6 O 2.64
Re 0.3333 0.6667 0.7818  4 O 1.76-1.81
O 0.1646 0.3296 0.6931  1 Re 1.81
O 0.8354 0.6704 0.3069  1 Re 1.81
O 0.6704 0.8350 0.6931  1 Re 1.81